Entry from the Alexandria database: a geometry-optimized Mn2TlCdCl6 structure (PBE-GGA).

Geometry as CIF:
```
data_Mn2TlCdCl6
_symmetry_space_group_name_H-M 'P 1'
_symmetry_Int_Tables_number 1
_cell_length_a 7.086
_cell_length_b 7.085
_cell_length_c 7.088
_cell_angle_alpha 60.00
_cell_angle_beta 60.00
_cell_angle_gamma 60.00
loop_
_symmetry_equiv_pos_as_xyz
'x,y,z'
loop_
_atom_site_label
_atom_site_fract_x
_atom_site_fract_y
_atom_site_fract_z
Cd1 0.293 0.293 0.121
Mn1 0.015 0.015 0.955
Mn2 0.519 0.519 0.444
Cl1 0.844 0.682 0.215
Cl2 0.752 0.208 0.722
Cl3 0.682 0.260 0.215
Cl4 0.208 0.318 0.722
Cl5 0.318 0.753 0.722
Cl6 0.260 0.843 0.214
Tl1 0.771 0.771 0.687
```

Output
ΔE_f (raw) = -85.31 kJ/mol of atoms
Calculated volume = 25.2 A^3/atom
Energy = -4.1542 eV/atom